(1)
DFT (PBE) results for an optimized crystal structure of Ca2GaAg.

Structure (POSCAR):
```
Ca2GaAg
1.0
-4.089 4.089 3.416
4.089 -4.089 3.416
4.089 4.089 -3.416
Ca Ga Ag
4 2 2
Direct
0.121 0.625 0.996 Ca
0.375 0.371 0.496 Ca
0.629 0.125 0.004 Ca
0.875 0.879 0.504 Ca
0.250 0.750 0.500 Ga
0.500 0.500 0.000 Ga
0.000 0.000 0.000 Ag
0.750 0.250 0.500 Ag
```

Magnetic moment, μB per atom: 0.0000
D(E_F), states/eV/atom: 0.37
E_tot, eV/cell: -20.16

=====

(2)
DFT (PBE) results for an optimized crystal structure of CaGa3Ag2.

Structure (POSCAR):
```
CaGa3Ag2
1.0
8.290 -2.257 0.000
8.290 2.257 0.000
-2.034 0.000 6.448
Ca Ga Ag
2 6 4
Direct
0.114 0.114 0.171 Ca
0.886 0.886 0.829 Ca
0.070 0.070 0.657 Ga
0.299 0.299 0.077 Ga
0.368 0.368 0.496 Ga
0.632 0.632 0.504 Ga
0.701 0.701 0.923 Ga
0.930 0.930 0.343 Ga
0.236 0.236 0.655 Ag
0.476 0.476 0.184 Ag
0.524 0.524 0.816 Ag
0.764 0.764 0.345 Ag
```

Magnetic moment, μB per atom: 0.0000
D(E_F), states/eV/atom: 0.43
E_tot, eV/cell: -36.38
Polymorph energy (0 for the lowest one), kJ/mol of formula units: 16

=====

(3)
DFT (PBE) results for an optimized crystal structure of CaGa4Ag3.

Structure (POSCAR):
```
CaGa4Ag3
1.0
4.259 0.000 0.000
0.000 4.259 0.000
0.000 0.000 9.286
Ca Ga Ag
1 4 3
Direct
0.000 0.000 0.000 Ca
0.000 0.500 0.324 Ga
0.000 0.500 0.676 Ga
0.500 0.000 0.324 Ga
0.500 0.000 0.676 Ga
0.000 0.000 0.500 Ag
0.500 0.500 0.147 Ag
0.500 0.500 0.853 Ag
```

Magnetic moment, μB per atom: 0.0000
D(E_F), states/eV/atom: 0.61
E_tot, eV/cell: -23.79

=====

no.,ΔH_f (0 K) (meV per atom)
1,-50
2,-234
3,-141